# Ba3SrMo4O16

A crystal of Ba3SrMo4O16 relaxed with PBEsol (SCAN, Alexandria).

Cell: 5.531 7.387 10.755 Å, 72.58 75.13 68.00°
Sites, in units of the cell vectors:
O 0.263 0.750 0.166
O 0.821 0.372 0.540
O 0.807 0.867 0.030
O 0.727 0.247 0.834
O 0.915 0.549 0.856
O 0.084 0.456 0.133
O 0.918 0.049 0.364
O 0.291 0.230 0.669
O 0.663 0.822 0.600
O 0.179 0.634 0.464
O 0.687 0.306 0.091
O 0.712 0.760 0.341
O 0.201 0.131 0.952
O 0.340 0.696 0.904
O 0.331 0.178 0.411
O 0.060 0.953 0.645
Mo 0.126 0.182 0.567
Mo 0.123 0.693 0.057
Mo 0.867 0.817 0.443
Mo 0.884 0.308 0.932
Ba 0.375 0.064 0.185
Ba 0.376 0.561 0.690
Ba 0.622 0.440 0.312
Sr 0.627 0.936 0.812

Values from the calculation:
The symmetry is P1 (1). The uncorrected formation energy is -2761 meV/atom. As for the density of states at the Fermi level: 0.00 states/eV/cell.


# HgAsPd2O

A crystal of HgAsPd2O relaxed with PBEsol (SCAN, Alexandria).

Cell: 4.033 4.033 5.081 Å, 90.00 90.00 90.00°
Sites, in units of the cell vectors:
As 0.500 0.500 0.500
Pd 0.500 0.000 0.000
Pd 0.000 0.500 0.000
Hg 0.000 0.000 0.500
O 0.000 0.000 0.000

Values from the calculation:
The symmetry is P4/mmm (123). The uncorrected formation energy is 147 meV/atom. As for the density of states at the Fermi level: 2.47 states/eV/cell.


# Lu5Rh3

A crystal of Lu5Rh3 relaxed with PBEsol (SCAN, Alexandria).

Cell: 6.001 7.980 7.980 Å, 120.00 90.00 90.00°
Sites, in units of the cell vectors:
Lu 0.500 0.667 0.333
Lu 0.750 0.000 0.250
Lu 0.750 0.250 0.000
Lu 0.750 0.750 0.750
Lu 0.000 0.667 0.333
Lu 0.000 0.333 0.667
Lu 0.250 0.750 0.000
Lu 0.250 0.000 0.750
Lu 0.500 0.333 0.667
Lu 0.250 0.250 0.250
Rh 0.250 0.399 0.000
Rh 0.750 0.000 0.601
Rh 0.250 0.601 0.601
Rh 0.750 0.601 0.000
Rh 0.250 0.000 0.399
Rh 0.750 0.399 0.399

Values from the calculation:
The symmetry is P6_3/mcm (193). The formation energy is -944 meV/atom. As for the density of states at the Fermi level: 11.53 states/eV/cell.


# AlGaBr2

A crystal of AlGaBr2 relaxed with PBEsol (SCAN, Alexandria).

Cell: 5.226 5.226 5.226 Å, 60.00 60.00 60.00°
Sites, in units of the cell vectors:
Ga 0.500 0.500 0.500
Br 0.750 0.750 0.750
Br 0.250 0.250 0.250
Al 0.000 0.000 0.000

Values from the calculation:
The symmetry is Fm-3m (225). The uncorrected formation energy is -182 meV/atom.


# LaFeCl2

A crystal of LaFeCl2 relaxed with PBEsol (SCAN, Alexandria).

Cell: 3.913 4.434 4.427 Å, 90.00 90.00 90.00°
Site moments in Bohr magnetons follow the coordinates.
Sites, in units of the cell vectors:
Cl 0.000 0.500 0.500  0.05
Cl 0.000 0.000 0.000  0.05
Fe 0.500 0.500 0.000  2.98
La 0.500 0.000 0.500  -0.12

Values from the calculation:
The symmetry is P4/mmm (123). The uncorrected formation energy is -936 meV/atom. As for the density of states at the Fermi level: 1.58 states/eV/cell.


# GaReNCl2

A crystal of GaReNCl2 relaxed with PBEsol (SCAN, Alexandria).

Cell: 4.533 4.533 5.147 Å, 90.00 90.00 90.00°
Site moments in Bohr magnetons follow the coordinates.
Sites, in units of the cell vectors:
Cl 0.500 0.000 0.000  -0.04
Cl 0.000 0.500 0.000  -0.04
Re 0.000 0.000 0.000  -0.25
Ga 0.000 0.000 0.500  -0.03
N 0.500 0.500 0.500  1.73

Values from the calculation:
The symmetry is P4/mmm (123). The uncorrected formation energy is 1111 meV/atom. As for the density of states at the Fermi level: 3.08 states/eV/cell.


# TcPd3S

A crystal of TcPd3S relaxed with PBEsol (SCAN, Alexandria).

Cell: 4.407 4.407 4.407 Å, 90.00 90.00 90.00°
Site moments in Bohr magnetons follow the coordinates.
Sites, in units of the cell vectors:
Pd 0.000 0.500 0.000  0.10
Pd 0.000 0.000 0.500  0.10
Pd 0.500 0.000 0.000  0.10
S 0.000 0.000 0.000  0.04
Tc 0.500 0.500 0.500  3.89

Values from the calculation:
The symmetry is Pm-3m (221). The uncorrected formation energy is 362 meV/atom. As for the density of states at the Fermi level: 1.25 states/eV/cell.


# TaBeFe6

A crystal of TaBeFe6 relaxed with PBEsol (SCAN, Alexandria).

Cell: 5.866 6.284 10.944 Å, 90.00 90.00 117.83°
Site moments in Bohr magnetons follow the coordinates.
Sites, in units of the cell vectors:
Fe 0.870 0.260 0.885  2.36
Fe 0.749 0.497 0.760  2.53
Fe 0.858 0.245 0.633  1.92
Fe 0.390 0.260 0.885  2.36
Fe 0.251 0.503 0.240  2.53
Fe 0.613 0.755 0.633  1.92
Fe 0.142 0.755 0.367  1.92
Fe 0.387 0.245 0.633  1.92
Fe 0.610 0.740 0.885  2.36
Fe 0.130 0.740 0.115  2.36
Fe 0.142 0.755 0.633  1.92
Fe 0.613 0.755 0.367  1.92
Fe 0.130 0.740 0.885  2.36
Fe 0.000 0.000 0.000  2.51
Fe 0.500 0.000 0.000  2.47
Fe 0.387 0.245 0.367  1.92
Fe 0.749 0.497 0.240  2.53
Fe 0.000 0.000 0.500  2.67
Fe 0.390 0.260 0.115  2.36
Fe 0.610 0.740 0.115  2.36
Fe 0.870 0.260 0.115  2.36
Fe 0.500 0.000 0.500  2.51
Fe 0.251 0.503 0.760  2.53
Fe 0.858 0.245 0.367  1.92
Ta 0.757 0.514 0.500  -0.67
Ta 0.243 0.486 0.500  -0.67
Ta 0.000 0.000 0.244  -0.74
Ta 0.000 0.000 0.756  -0.74
Be 0.500 0.000 0.764  -0.11
Be 0.243 0.487 0.000  -0.14
Be 0.500 0.000 0.236  -0.11
Be 0.757 0.513 0.000  -0.14

Values from the calculation:
The symmetry is Cmmm (65). The formation energy is -29 meV/atom. As for the density of states at the Fermi level: 18.88 states/eV/cell.


| no. | ρ (Mg/m³) | magnetization (μB/f.u.) |
| --- | --- | --- |
| 1 | 4.934 | 0.0 |
| 2 | 10.133 | 0.0 |
| 3 | 11.876 | 0.2 |
| 4 | 4.221 | 0.0 |
| 5 | 5.743 | 3.0 |
| 6 | 5.351 | 2.1 |
| 7 | 8.720 | 4.5 |
| 8 | 9.774 | 12.4 |